KHg2Br | PBE | optimized geometry

Properties
The calculation puts the electronic total energy at -1.609 eV/atom. As for the formation energy from raw total energies: -0.765 eV per atom. The value obtained for the density is 5.8 g cm⁻³.

Cell: 4.598 7.766 4.576 Å, 72.88 89.94 107.20°
Fractional positions:
Br: 0.500 0.500 0.000
Hg: 0.000 0.000 0.000
Hg: 0.500 0.000 0.500
K: 0.000 0.500 0.500